Entry 1:
This record from Alexandria via LeMat-Bulk describes crystalline Sr4CuBi2Sb2 at its relaxed geometry. The functional is GGA-PBE.

## Properties
Space group = No. 12
Spin magnetization = 0.0 Bohr magnetons per cell
ΔE_f (raw) = -0.695 eV per atom

abc: 5.343 7.947 7.947
angles: 69.09 87.51 87.51
Fractional positions:
1 Sb 0.746 0.831 0.831
2 Cu 0.500 0.000 0.000
3 Sr 0.239 0.626 0.108
4 Bi 0.752 0.434 0.434
5 Sr 0.761 0.892 0.374
6 Bi 0.248 0.566 0.566
7 Sb 0.254 0.169 0.169
8 Sr 0.239 0.108 0.626
9 Sr 0.761 0.374 0.892

---

Entry 2:
This record from Alexandria via LeMat-Bulk describes crystalline CuBiSb2Te at its relaxed geometry. The functional is GGA-PBE.

## Properties
Polymorph energy (0 for the lowest one) = 0.841 eV per atom
Space group = No. 123
Spin magnetization = 0.9 Bohr magnetons per cell
ΔE_f (raw) = 1.194 eV per atom

abc: 5.812 5.812 5.977
angles: 90.00 90.00 90.00
Last column: magnetic moment on the atom in μB.
Fractional positions:
1 Te 0.000 0.000 0.500  0.07
2 Sb 0.500 0.000 0.000  0.15
3 Sb 0.000 0.500 0.000  0.15
4 Bi 0.000 0.000 0.000  -0.01
5 Cu 0.500 0.500 0.500  0.01

---

Entry 3:
This record from Alexandria via LeMat-Bulk describes crystalline CuBiSb2Te at its relaxed geometry. The functional is GGA-PBE.

## Properties
Polymorph energy (0 for the lowest one) = 0.000 eV per atom
Space group = No. 123
Spin magnetization = 0.0 Bohr magnetons per cell
ΔE_f (raw) = 0.353 eV per atom

abc: 5.079 5.079 5.342
angles: 90.00 90.00 90.00
Fractional positions:
1 Te 0.000 0.000 0.500
2 Cu 0.000 0.000 0.000
3 Sb 0.000 0.500 0.000
4 Sb 0.500 0.000 0.000
5 Bi 0.500 0.500 0.500

---

What did the second record say?
This record from Alexandria via LeMat-Bulk describes crystalline CuBiSb2Te at its relaxed geometry. The functional is GGA-PBE.

## Properties
Polymorph energy (0 for the lowest one) = 0.841 eV per atom
Space group = No. 123
Spin magnetization = 0.9 Bohr magnetons per cell
ΔE_f (raw) = 1.194 eV per atom

abc: 5.812 5.812 5.977
angles: 90.00 90.00 90.00
Last column: magnetic moment on the atom in μB.
Fractional positions:
1 Te 0.000 0.000 0.500  0.07
2 Sb 0.500 0.000 0.000  0.15
3 Sb 0.000 0.500 0.000  0.15
4 Bi 0.000 0.000 0.000  -0.01
5 Cu 0.500 0.500 0.500  0.01